VASP calculation (PBE-GGA) on crystalline TiReSiRh at its relaxed geometry.

POSCAR file:
```
TiReSiRh
1.0
-1.280 4.052 0.563
-3.934 1.194 -1.217
-2.970 0.919 2.952
Si Ti Rh Re
1 1 1 1
Direct
0.250 0.250 0.250 Si
0.750 0.750 0.750 Ti
0.000 0.000 0.000 Rh
0.500 0.500 0.500 Re
```

Computed properties:
The total magnetic moment comes out at 0.0 Bohr magnetons per cell. The formation energy from raw total energies comes out at -0.654 eV/atom. For the energy, the calculation gives -35.732 eV/cell.